BaCaPbBr6 | PBE | optimized geometry

abc: 7.6590 7.6590 14.0138
angles: 90.00 90.00 120.00
With the nearest neighbours (Å) after each atom.
Element x y z (fractional)
Ba (0.0000, 0.0000, 0.0000)  6 Br 3.27
Ba (0.0000, 0.0000, 0.5000)  6 Br 3.27
Ca (0.3333, 0.6667, 0.2500)  6 Br 2.92
Ca (0.6667, 0.3333, 0.7500)  6 Br 2.92
Pb (0.3333, 0.6667, 0.7500)  6 Br 3.05
Pb (0.6667, 0.3333, 0.2500)  6 Br 3.05
Br (0.0136, 0.3606, 0.1310)  1 Ca 2.92, 1 Pb 3.05
Br (0.0136, 0.6530, 0.3690)  1 Ca 2.92, 1 Pb 3.05
Br (0.3470, 0.3606, 0.3690)  1 Ca 2.92, 1 Pb 3.05
Br (0.3470, 0.9864, 0.1310)  1 Ca 2.92, 1 Pb 3.05
Br (0.3606, 0.0136, 0.6310)  1 Ca 2.92, 1 Pb 3.05
Br (0.3606, 0.3470, 0.8690)  1 Ca 2.92, 1 Pb 3.05
Br (0.6394, 0.6530, 0.1310)  1 Ca 2.92, 1 Pb 3.05
Br (0.6394, 0.9864, 0.3690)  1 Ca 2.92, 1 Pb 3.05
Br (0.6530, 0.0136, 0.8690)  1 Ca 2.92, 1 Pb 3.05
Br (0.6530, 0.6394, 0.6310)  1 Ca 2.92, 1 Pb 3.05
Br (0.9864, 0.3470, 0.6310)  1 Ca 2.92, 1 Pb 3.05
Br (0.9864, 0.6394, 0.8690)  1 Ca 2.92, 1 Pb 3.05

**Space group**: P-31c
**Electronic total energy**: -66.000 eV for the cell shown
**Formation energy (no corrections)**: -1703 meV/atom